Run A
Material: Ta2ReAg
Method: DFT, GGA-PBEsol
State: relaxed

The density of states at the Fermi level is 2.7 states/eV/f.u.

The space group is Cmm2 (No. 35) and the conventional cell measures 3.2091, 4.4618 and 9.2208 Å, with angles of 90.00, 90.00 and 90.00 degrees. The asymmetric unit holds Ta at (0.0000, 0.0000, 0.0000), Ta at (0.0000, 0.5000, 0.2577), Re at (0.0000, 0.0000, 0.4906) and Ag at (0.0000, 0.5000, 0.7437).

---

Run B
Material: Ta2ReAg
Method: DFT, GGA-PBEsol
State: relaxed

The density of states at the Fermi level is 2.6 states/eV/f.u.

The space group is I4/mmm (No. 139) and the conventional cell measures 4.2248, 4.2248 and 7.3516 Å, with angles of 90.00, 90.00 and 90.00 degrees. The asymmetric unit holds Ta at (0.0000, 0.5000, 0.2500), Re at (0.0000, 0.0000, 0.0000) and Ag at (0.0000, 0.0000, 0.5000).

---

Run C
Material: Ta2ReAg
Method: DFT, GGA-PBEsol
State: relaxed

The density of states at the Fermi level is 3.2 states/eV/f.u.

The space group is Pmm2 (No. 25) and the conventional cell measures 2.6797, 4.3618 and 5.6792 Å, with angles of 90.00, 90.00 and 90.00 degrees. The asymmetric unit holds Ta at (0.0000, 0.0000, 0.0000), Ta at (0.5000, 0.5000, 0.2738), Re at (0.5000, 0.5000, 0.7769) and Ag at (0.0000, 0.0000, 0.5124).

---

Run D
Material: Ta2ReAg
Method: DFT, GGA-PBEsol
State: relaxed

The density of states at the Fermi level is 3.4 states/eV/f.u.

The space group is Imm2 (No. 44) and the conventional cell measures 3.2615, 4.4916 and 9.1051 Å, with angles of 90.00, 90.00 and 90.00 degrees. The asymmetric unit holds Ta at (0.0000, 0.0000, 0.0000), Ta at (0.0000, 0.5000, 0.2428), Re at (0.0000, 0.0000, 0.5183) and Ag at (0.0000, 0.5000, 0.7633).

---

Energy above the most stable structure, in kJ/mol of atoms: run A 3.4; run B 0.0; run C 17.2; run D 8.2